No. 1
This record from Alexandria via LeMat-Bulk describes a relaxed structure of TbSm2Dy6Er3. The functional is PBE-GGA.

CIF file:
```
data_TbSm2Dy6Er3
_chemical_formula_sum 'Tb2 Sm4 Dy12 Er6'
_cell_length_a 6.1468
_cell_length_b 10.6365
_cell_length_c 11.7534
_cell_angle_alpha 90.00
_cell_angle_beta 99.98
_cell_angle_gamma 90.00
_space_group_name_H-M_alt 'C 1 2/m 1'
_space_group_IT_number 12
_space_group_name_Hall '-C 2y'
loop_
_atom_site_label
_atom_site_fract_x
_atom_site_fract_y
_atom_site_fract_z
_atom_site_occupancy
Tb1 0.0000 0.0000 0.0000 1
Sm1 0.0000 0.3334 0.0000 1
Dy1 0.2480 0.0000 0.7471 1
Dy2 0.2486 0.3335 0.7473 1
Er1 0.0000 0.1666 0.5000 1
Er2 0.0000 0.5000 0.5000 1
```

Computed properties:
Raw total energy: -4.597 eV per atom
Crystal system: monoclinic
Fermi-level density of states: 1.29 states/eV per atom
Calculated volume: 756.8 Å³ per cell

No. 2
This record from Alexandria via LeMat-Bulk describes a relaxed structure of Tm3Cd12In5. The functional is PBE-GGA.

CIF file:
```
data_Tm3Cd12In5
_chemical_formula_sum 'Tm24 Cd96 In40'
_cell_length_a 17.2757
_cell_length_b 17.2757
_cell_length_c 17.2757
_cell_angle_alpha 90.00
_cell_angle_beta 90.00
_cell_angle_gamma 90.00
_space_group_name_H-M_alt 'I a -3 d'
_space_group_IT_number 230
_space_group_name_Hall '-I 4bd 2c 3'
loop_
_atom_site_label
_atom_site_fract_x
_atom_site_fract_y
_atom_site_fract_z
_atom_site_occupancy
Tm1 0.0000 0.2500 0.1250 1
Cd1 0.0107 0.0758 0.6516 1
In1 0.0000 0.0000 0.0000 1
In2 0.0000 0.2500 0.3750 1
```

Computed properties:
Raw total energy: -1.647 eV per atom
Crystal system: cubic
Fermi-level density of states: 0.84 states/eV per atom
Calculated volume: 5155.9 Å³ per cell

No. 3
This record from Alexandria via LeMat-Bulk describes a relaxed structure of Dy7Tl2Ag2. The functional is PBE-GGA.

CIF file:
```
data_Dy7Tl2Ag2
_chemical_formula_sum 'Dy14 Tl4 Ag4'
_cell_length_a 8.1176
_cell_length_b 11.2368
_cell_length_c 7.3352
_cell_angle_alpha 90.00
_cell_angle_beta 90.00
_cell_angle_gamma 90.00
_space_group_name_H-M_alt 'C m m m'
_space_group_IT_number 65
_space_group_name_Hall '-C 2 2'
loop_
_atom_site_label
_atom_site_fract_x
_atom_site_fract_y
_atom_site_fract_z
_atom_site_occupancy
Dy1 0.0000 0.0000 0.0000 1
Dy2 0.0000 0.5000 0.2496 1
Dy3 0.2500 0.2500 0.2678 1
Tl1 0.1807 0.0000 0.5000 1
Ag1 0.0000 0.2907 0.0000 1
```

Computed properties:
Raw total energy: -3.858 eV per atom
Crystal system: orthorhombic
Fermi-level density of states: 1.14 states/eV per atom
Calculated volume: 669.1 Å³ per cell

No. 4
This record from Alexandria via LeMat-Bulk describes a relaxed structure of Pm6InGa5. The functional is PBE-GGA.

CIF file:
```
data_Pm6InGa5
_chemical_formula_sum 'Pm12 In2 Ga10'
_cell_length_a 5.2340
_cell_length_b 7.3963
_cell_length_c 15.7256
_cell_angle_alpha 90.00
_cell_angle_beta 90.00
_cell_angle_gamma 90.00
_space_group_name_H-M_alt 'I m m m'
_space_group_IT_number 71
_space_group_name_Hall '-I 2 2'
loop_
_atom_site_label
_atom_site_fract_x
_atom_site_fract_y
_atom_site_fract_z
_atom_site_occupancy
Pm1 0.0000 0.2408 0.0000 1
Pm2 0.0000 0.2542 0.3298 1
In1 0.0000 0.0000 0.5000 1
Ga1 0.0000 0.0000 0.1676 1
Ga2 0.0000 0.5000 0.1614 1
Ga3 0.0000 0.5000 0.5000 1
```

Computed properties:
Raw total energy: -4.413 eV per atom
Crystal system: orthorhombic
Fermi-level density of states: 0.46 states/eV per atom
Calculated volume: 608.8 Å³ per cell